[1]
A relaxed structure of SnSbOs2W, computed with PBE.

Values from the calculation:
Formation energy without anion corrections in eV per atom: 1.631

Unit cell a=4.8352 b=4.8352 c=5.1270 alpha=90.00 beta=90.00 gamma=90.00
Closest atoms and distances in Å follow each position.
Sites, in units of the cell vectors:
Sn1 0.0000 0.0000 0.0000  4 Sb 3.42, 8 Os 3.52
Sb1 0.5000 0.5000 0.0000  2 W 2.56
Os1 0.0000 0.5000 0.5000  2 W 2.42
Os2 0.5000 0.0000 0.5000  2 W 2.42
W1 0.5000 0.5000 0.5000  4 Os 2.42, 2 Sb 2.56

---

[2]
A relaxed structure of Zn2SnSbOs, computed with PBE.

Values from the calculation:
Formation energy without anion corrections in eV per atom: 1.126

Unit cell a=5.0891 b=5.0891 c=4.9535 alpha=90.00 beta=90.00 gamma=90.00
Closest atoms and distances in Å follow each position.
Sites, in units of the cell vectors:
Zn1 0.0000 0.5000 0.0000  2 Sb 2.54
Zn2 0.5000 0.0000 0.0000  2 Sb 2.54
Sn1 0.0000 0.0000 0.5000  8 Zn 3.55, 4 Os 3.60
Sb1 0.5000 0.5000 0.0000  2 Os 2.48, 4 Zn 2.54
Os1 0.5000 0.5000 0.5000  2 Sb 2.48

---

[3]
A relaxed structure of SrSbOs, computed with PBE.

Values from the calculation:
Formation energy without anion corrections in eV per atom: 0.022

Unit cell a=4.4737 b=4.4737 c=4.7261 alpha=90.00 beta=90.00 gamma=120.00
Closest atoms and distances in Å follow each position.
Sites, in units of the cell vectors:
Sr1 0.0000 0.0000 0.0000  6 Sb 3.50, 6 Os 3.50
Sb1 0.6667 0.3333 0.5000  3 Os 2.58
Os1 0.3333 0.6667 0.5000  3 Sb 2.58

---

[4]
A relaxed structure of Sr2SbOs2, computed with PBE.

Values from the calculation:
Formation energy without anion corrections in eV per atom: 1.156

Unit cell a=9.2787 b=9.2787 c=2.8693 alpha=90.00 beta=90.00 gamma=90.00
Closest atoms and distances in Å follow each position.
Sites, in units of the cell vectors:
Sr1 0.1305 0.3695 0.0000  2 Sr 2.87, 6 Os 2.99-3.15
Sr2 0.3695 0.8695 0.0000  2 Sr 2.87, 6 Os 2.99-3.15
Sr3 0.6305 0.1305 0.0000  2 Sr 2.87, 6 Os 2.99-3.15
Sr4 0.8695 0.6305 0.0000  2 Sr 2.87, 6 Os 2.99-3.15
Sb1 0.0000 0.0000 0.0000  2 Sb 2.87
Sb2 0.5000 0.5000 0.0000  2 Sb 2.87
Os1 0.1696 0.6696 0.5000  2 Os 2.87, 6 Sr 2.99-3.15
Os2 0.3304 0.1696 0.5000  2 Os 2.87, 6 Sr 2.99-3.15
Os3 0.6696 0.8304 0.5000  2 Os 2.87, 6 Sr 2.99-3.15
Os4 0.8304 0.3304 0.5000  2 Os 2.87, 6 Sr 2.99-3.15

---

[5]
A relaxed structure of SrSb4Os, computed with PBE.

Values from the calculation:
Formation energy without anion corrections in eV per atom: 0.663

Unit cell a=6.1950 b=6.1950 c=6.1950 alpha=60.00 beta=60.00 gamma=60.00
Closest atoms and distances in Å follow each position.
Sites, in units of the cell vectors:
Sr1 0.0000 0.0000 0.0000  12 Sb 3.63, 4 Os 3.79
Sb1 0.3760 0.3760 0.3760  6 Sb 3.07-3.12
Sb2 0.3760 0.3760 0.8721  6 Sb 3.07-3.12
Sb3 0.3760 0.8721 0.3760  6 Sb 3.07-3.12
Sb4 0.8721 0.3760 0.3760  6 Sb 3.07-3.12
Os1 0.7500 0.7500 0.7500  12 Sb 3.63, 4 Sr 3.79

---

[6]
A relaxed structure of Sr3SbOs, computed with PBE.

Values from the calculation:
Formation energy without anion corrections in eV per atom: 0.152

Unit cell a=5.6464 b=5.6464 c=5.6464 alpha=90.00 beta=90.00 gamma=90.00
Closest atoms and distances in Å follow each position.
Sites, in units of the cell vectors:
Sr1 0.0000 0.0000 0.5000  2 Os 2.82
Sr2 0.0000 0.5000 0.0000  2 Os 2.82
Sr3 0.5000 0.0000 0.0000  2 Os 2.82
Sb1 0.5000 0.5000 0.5000  12 Sr 3.99
Os1 0.0000 0.0000 0.0000  6 Sr 2.82

---

[7]
A relaxed structure of SrSb3Os, computed with PBE.

Values from the calculation:
Formation energy without anion corrections in eV per atom: 2.212

Unit cell a=5.7620 b=5.7620 c=5.7620 alpha=90.00 beta=90.00 gamma=90.00
Closest atoms and distances in Å follow each position.
Sites, in units of the cell vectors:
Sr1 0.0000 0.0000 0.0000  6 Sb 2.88
Sb1 0.0000 0.0000 0.5000  2 Sr 2.88
Sb2 0.0000 0.5000 0.0000  2 Sr 2.88
Sb3 0.5000 0.0000 0.0000  2 Sr 2.88
Os1 0.5000 0.5000 0.5000  12 Sb 4.07

---

[8]
A relaxed structure of SrSbOs, computed with PBE.

Values from the calculation:
Formation energy without anion corrections in eV per atom: 1.405

Unit cell a=4.9561 b=4.9561 c=4.9561 alpha=60.00 beta=60.00 gamma=60.00
Closest atoms and distances in Å follow each position.
Sites, in units of the cell vectors:
Sr1 0.0000 0.0000 0.0000  4 Sb 3.04, 4 Os 3.04
Sb1 0.7500 0.7500 0.7500  4 Sr 3.04
Os1 0.2500 0.2500 0.2500  4 Sr 3.04

---

[9]
A relaxed structure of SrSbOs, computed with PBE.

Values from the calculation:
Formation energy without anion corrections in eV per atom: 0.348

Unit cell a=4.7736 b=4.7736 c=4.7736 alpha=60.00 beta=60.00 gamma=60.00
Closest atoms and distances in Å follow each position.
Sites, in units of the cell vectors:
Sr1 0.0000 0.0000 0.0000  4 Os 2.92
Sb1 0.5000 0.5000 0.5000  4 Os 2.92
Os1 0.2500 0.2500 0.2500  4 Sb 2.92, 4 Sr 2.92

---

[10]
A relaxed structure of SrSb3Os, computed with PBE.

Values from the calculation:
Formation energy without anion corrections in eV per atom: 0.199

Unit cell a=5.2875 b=5.2875 c=5.2875 alpha=90.00 beta=90.00 gamma=90.00
Closest atoms and distances in Å follow each position.
Sites, in units of the cell vectors:
Sr1 0.0000 0.0000 0.0000  12 Sb 3.74
Sb1 0.0000 0.5000 0.5000  2 Os 2.64
Sb2 0.5000 0.0000 0.5000  2 Os 2.64
Sb3 0.5000 0.5000 0.0000  2 Os 2.64
Os1 0.5000 0.5000 0.5000  6 Sb 2.64

---

[11]
A relaxed structure of Sr2SbOs2, computed with PBE.

Values from the calculation:
Formation energy without anion corrections in eV per atom: 0.086

Unit cell a=10.2710 b=10.2710 c=10.2710 alpha=159.67 beta=159.67 gamma=28.90
Closest atoms and distances in Å follow each position.
Sites, in units of the cell vectors:
Sr1 0.1152 0.1152 0.0000  4 Os 3.24, 4 Sb 3.44, 4 Sr 3.62
Sr2 0.8848 0.8848 0.0000  4 Os 3.24, 4 Sb 3.44, 4 Sr 3.62
Sb1 0.5000 0.5000 0.0000  8 Sr 3.44, 4 Sb 3.62
Os1 0.2500 0.7500 0.5000  4 Os 2.56
Os2 0.7500 0.2500 0.5000  4 Os 2.56

---

[12]
A relaxed structure of SrSbOs, computed with PBE.

Values from the calculation:
Formation energy without anion corrections in eV per atom: 0.079

Unit cell a=6.5474 b=6.5474 c=6.5474 alpha=149.70 beta=149.70 gamma=43.38
Closest atoms and distances in Å follow each position.
Sites, in units of the cell vectors:
Sr1 0.0000 0.0000 0.0000  4 Os 3.30, 4 Sr 3.42, 5 Sb 3.49-3.55
Sb1 0.2870 0.2870 0.0000  4 Os 2.72
Os1 0.6849 0.6849 0.0000  4 Sb 2.72

---

Number 1: M_tot 0.00 Bohr magnetons per cell. Number 2: M_tot 0.00 Bohr magnetons per cell. Number 3: M_tot 0.00 Bohr magnetons per cell. Number 4: M_tot 0.00 Bohr magnetons per cell. Number 5: M_tot 2.51 Bohr magnetons per cell. Number 6: M_tot 0.00 Bohr magnetons per cell. Number 7: M_tot 0.07 Bohr magnetons per cell. Number 8: M_tot 0.00 Bohr magnetons per cell. Number 9: M_tot 0.00 Bohr magnetons per cell. Number 10: M_tot 0.00 Bohr magnetons per cell. Number 11: M_tot 0.00 Bohr magnetons per cell. Number 12: M_tot 0.00 Bohr magnetons per cell.